[1]
A plane-wave DFT calculation with PBE was carried out for a relaxed HoLuAg2 crystal.

Unit cell a=7.1859 b=7.1859 c=7.1859 alpha=90.00 beta=90.00 gamma=90.00
Space group Fm-3m (No. 225)
Symmetry-distinct sites (fractional):
Ho1 0.0000 0.0000 0.0000 [4 per cell]
Lu1 0.0000 0.0000 0.5000 [4 per cell]
Ag1 0.2500 0.2500 0.2500 [8 per cell]

Properties
The calculation puts the energy of formation at -127.5 kJ/mol of formula units. The polymorph energy (0 for the lowest one) comes out at 3 meV per atom. The value obtained for the magnetization is 0.00 μB per formula unit. Its crystal system is cubic. The total energy comes out at -4.03 eV/atom.

***

[2]
A plane-wave DFT calculation with PBE was carried out for a relaxed Ho2LuAg crystal.

Unit cell a=5.3294 b=5.3294 c=3.7529 alpha=90.00 beta=90.00 gamma=90.00
Space group P4/mmm (No. 123)
Symmetry-distinct sites (fractional):
Ho1 0.0000 0.5000 0.0000 [2 per cell]
Lu1 0.0000 0.0000 0.5000 [1 per cell]
Ag1 0.5000 0.5000 0.5000 [1 per cell]

Properties
The calculation puts the energy of formation at -4.7 kJ/mol of formula units. The polymorph energy (0 for the lowest one) comes out at 115 meV per atom. The value obtained for the magnetization is 0.00 μB per formula unit. Its crystal system is tetragonal. The total energy comes out at -4.14 eV/atom.

***

[3]
A plane-wave DFT calculation with PBE was carried out for a relaxed Ho2LuAg crystal.

Unit cell a=7.5203 b=7.5203 c=7.5203 alpha=90.00 beta=90.00 gamma=90.00
Space group Fm-3m (No. 225)
Symmetry-distinct sites (fractional):
Ho1 0.2500 0.2500 0.2500 [8 per cell]
Lu1 0.0000 0.0000 0.0000 [4 per cell]
Ag1 0.0000 0.0000 0.5000 [4 per cell]

Properties
The calculation puts the energy of formation at 16.1 kJ/mol of formula units. The polymorph energy (0 for the lowest one) comes out at 169 meV per atom. The value obtained for the magnetization is 0.00 μB per formula unit. Its crystal system is cubic. The total energy comes out at -4.09 eV/atom.

***

[4]
A plane-wave DFT calculation with PBE was carried out for a relaxed HoLuAg crystal.

Unit cell a=4.9986 b=4.9986 c=3.5933 alpha=90.00 beta=90.00 gamma=120.00
Space group P3m1 (No. 156)
Symmetry-distinct sites (fractional):
Ho1 0.0000 0.0000 0.0000 [1 per cell]
Lu1 0.3333 0.6667 0.5351 [1 per cell]
Ag1 0.6667 0.3333 0.2969 [1 per cell]

Properties
The calculation puts the energy of formation at -13.2 kJ/mol of formula units. The polymorph energy (0 for the lowest one) comes out at 135 meV per atom. The value obtained for the magnetization is 0.00 μB per formula unit. Its crystal system is trigonal. The total energy comes out at -4.03 eV/atom.